i:
{
  "formula": "NaCd2Cl",
  "functional": "PBE-GGA",
  "state": "relaxed",
  "lattice": [[8.997, 0.000, 0.000], [0.000, 8.997, 0.000], [0.000, 0.000, 5.579]],
  "species": ["Na", "Na", "Na", "Na", "Cd", "Cd", "Cd", "Cd", "Cd", "Cd", "Cd", "Cd", "Cl", "Cl", "Cl", "Cl"],
  "fractional_positions": [[0.000, 0.000, 0.000], [0.000, 0.500, 0.250], [0.500, 0.000, 0.750], [0.500, 0.500, 0.500], [0.228, 0.250, 0.625], [0.250, 0.728, 0.875], [0.250, 0.772, 0.375], [0.272, 0.250, 0.125], [0.728, 0.750, 0.125], [0.750, 0.228, 0.375], [0.750, 0.272, 0.875], [0.772, 0.750, 0.625], [0.000, 0.000, 0.500], [0.000, 0.500, 0.750], [0.500, 0.000, 0.250], [0.500, 0.500, 0.000]]
}

ii:
{
  "formula": "NaCd2Cl",
  "functional": "PBE-GGA",
  "state": "relaxed",
  "lattice": [[7.798, 0.000, 0.000], [0.000, 7.798, 0.000], [0.000, 0.000, 7.798]],
  "species": ["Na", "Na", "Na", "Na", "Cd", "Cd", "Cd", "Cd", "Cd", "Cd", "Cd", "Cd", "Cl", "Cl", "Cl", "Cl"],
  "fractional_positions": [[0.000, 0.000, 0.000], [0.000, 0.500, 0.500], [0.500, 0.000, 0.500], [0.500, 0.500, 0.000], [0.250, 0.250, 0.250], [0.250, 0.250, 0.750], [0.250, 0.750, 0.250], [0.250, 0.750, 0.750], [0.750, 0.250, 0.250], [0.750, 0.250, 0.750], [0.750, 0.750, 0.250], [0.750, 0.750, 0.750], [0.000, 0.000, 0.500], [0.000, 0.500, 0.000], [0.500, 0.000, 0.000], [0.500, 0.500, 0.500]]
}

Relative energy table, unit kJ/mol of atoms: i 0.0; ii 25.6

i:
{
  "formula": "NaCd2Cl5",
  "functional": "PBE-GGA",
  "state": "relaxed",
  "lattice": [[12.834, 0.000, 0.000], [0.000, 7.120, 0.000], [-3.530, 0.000, 5.945]],
  "species": ["Na", "Na", "Cd", "Cd", "Cd", "Cd", "Cl", "Cl", "Cl", "Cl", "Cl", "Cl", "Cl", "Cl", "Cl", "Cl"],
  "fractional_positions": [[0.000, 0.000, 0.000], [0.500, 0.500, 0.000], [0.363, 0.000, 0.822], [0.446, 0.500, 0.417], [0.863, 0.500, 0.822], [0.946, 0.000, 0.417], [0.158, 0.000, 0.454], [0.352, 0.256, 0.079], [0.352, 0.744, 0.079], [0.478, 0.242, 0.703], [0.478, 0.758, 0.703], [0.658, 0.500, 0.454], [0.852, 0.244, 0.079], [0.852, 0.756, 0.079], [0.978, 0.258, 0.703], [0.978, 0.742, 0.703]]
}

ii:
{
  "formula": "NaCd2Cl5",
  "functional": "PBE-GGA",
  "state": "relaxed",
  "lattice": [[2.642, -6.583, 0.000], [2.642, 6.583, 0.000], [0.000, 0.000, 13.131]],
  "species": ["Na", "Na", "Cd", "Cd", "Cd", "Cd", "Cl", "Cl", "Cl", "Cl", "Cl", "Cl", "Cl", "Cl", "Cl", "Cl"],
  "fractional_positions": [[0.215, 0.785, 0.750], [0.785, 0.215, 0.250], [0.136, 0.864, 0.059], [0.136, 0.864, 0.441], [0.864, 0.136, 0.559], [0.864, 0.136, 0.941], [0.050, 0.950, 0.620], [0.050, 0.950, 0.880], [0.214, 0.786, 0.250], [0.317, 0.683, 0.553], [0.317, 0.683, 0.947], [0.683, 0.317, 0.053], [0.683, 0.317, 0.447], [0.786, 0.214, 0.750], [0.950, 0.050, 0.120], [0.950, 0.050, 0.380]]
}

Relative energy table, unit kJ/mol of atoms: i 7.5; ii 0.0